TcMo2P, relaxed, DFT PBE; ΔE_f = 20 kJ/mol of formula units; spin magnetization = 0.00 μB/f.u.; crystal system = trigonal
1.0
1.442 0.833 8.206
-1.442 0.833 8.206
0.000 -1.665 8.206
Tc Mo P
1 2 1
Direct
0.000 0.000 0.000 Tc
0.244 0.244 0.244 Mo
0.756 0.756 0.756 Mo
0.500 0.500 0.500 P